# NdZn3P3 (GGA-PBEsol, optimized geometry)
# space-group type = P6_3/mmc, No. 194
# E = -4.48 eV per atom
# ΔE_f = -0.580 eV per atom
data_NdZn3P3
_chemical_formula_sum 'Nd2 Zn6 P6'
_cell_length_a 3.992
_cell_length_b 3.992
_cell_length_c 19.706
_cell_angle_alpha 90.00
_cell_angle_beta 90.00
_cell_angle_gamma 120.00
_symmetry_space_group_name_H-M 'P 1'
_symmetry_Int_Tables_number 1
_symmetry_space_group_name_Hall 'P 1'
loop_
_atom_site_label
_atom_site_fract_x
_atom_site_fract_y
_atom_site_fract_z
Nd1 0.000 0.000 0.000
Nd2 0.000 0.000 0.500
Zn1 0.333 0.667 0.129
Zn2 0.333 0.667 0.371
Zn3 0.333 0.667 0.750
Zn4 0.667 0.333 0.250
Zn5 0.667 0.333 0.629
Zn6 0.667 0.333 0.871
P1 0.333 0.667 0.250
P2 0.333 0.667 0.588
P3 0.333 0.667 0.912
P4 0.667 0.333 0.088
P5 0.667 0.333 0.412
P6 0.667 0.333 0.750